# PmY4Tl PBE-GGA optimized geometry
data_PmY4Tl
_chemical_formula_sum 'Pm4 Y16 Tl4'
_cell_length_a 5.643
_cell_length_b 21.172
_cell_length_c 6.562
_cell_angle_alpha 90.00
_cell_angle_beta 90.00
_cell_angle_gamma 90.00
_space_group_name_H-M_alt 'C m c 21'
_space_group_IT_number 36
loop_
_space_group_symop_operation_xyz
'x,y,z'
'-x,-y,z+1/2'
'-x,y,z'
'x,-y,z+1/2'
'x+1/2,y+1/2,z'
'-x+1/2,-y+1/2,z+1/2'
'-x+1/2,y+1/2,z'
'x+1/2,-y+1/2,z+1/2'
loop_
_atom_site_label
_atom_site_fract_x
_atom_site_fract_y
_atom_site_fract_z
_atom_site_occupancy
Pm1 0.000 0.136 0.000 1
Y1 0.000 0.062 0.506 1
Y2 0.000 0.254 0.623 1
Y3 0.000 0.316 0.142 1
Y4 0.000 0.460 0.329 1
Tl1 0.000 0.399 0.761 1
# Energy of formation from the pure elements in meV/atom: 24
# Raw total energy in eV/atom: -5.471
# D(E_F) in states/eV/cell: 39.4

=====

# Ho14TmMg PBE-GGA optimized geometry
data_Ho14TmMg
_chemical_formula_sum 'Ho28 Tm2 Mg2'
_cell_length_a 11.339
_cell_length_b 7.045
_cell_length_c 12.189
_cell_angle_alpha 90.00
_cell_angle_beta 90.00
_cell_angle_gamma 90.00
_space_group_name_H-M_alt 'A m m 2'
_space_group_IT_number 38
loop_
_space_group_symop_operation_xyz
'x,y,z'
'-x,-y,z'
'-x,y,z'
'x,-y,z'
'x,y+1/2,z+1/2'
'-x,-y+1/2,z+1/2'
'-x,y+1/2,z+1/2'
'x,-y+1/2,z+1/2'
loop_
_atom_site_label
_atom_site_fract_x
_atom_site_fract_y
_atom_site_fract_z
_atom_site_occupancy
Ho1 0.000 0.000 0.000 1
Ho2 0.000 0.000 0.499 1
Ho3 0.000 0.249 0.249 1
Ho4 0.248 0.000 0.832 1
Ho5 0.252 0.000 0.333 1
Ho6 0.253 0.249 0.582 1
Ho7 0.500 0.246 0.914 1
Tm1 0.500 0.000 0.667 1
Mg1 0.500 0.000 0.166 1
# Energy of formation from the pure elements in meV/atom: 11
# Raw total energy in eV/atom: -4.373
# D(E_F) in states/eV/cell: 44.8

=====

# BePbI3 PBE-GGA optimized geometry
data_BePbI3
_chemical_formula_sum 'Be1 Pb1 I3'
_cell_length_a 5.364
_cell_length_b 5.364
_cell_length_c 5.364
_cell_angle_alpha 90.00
_cell_angle_beta 90.00
_cell_angle_gamma 90.00
_space_group_name_H-M_alt 'P m -3 m'
_space_group_IT_number 221
_space_group_name_Hall '-P 4 2 3'
loop_
_atom_site_label
_atom_site_fract_x
_atom_site_fract_y
_atom_site_fract_z
_atom_site_occupancy
Be1 0.000 0.000 0.000 1
Pb1 0.500 0.500 0.500 1
I1 0.000 0.000 0.500 1
# Uncorrected formation energy in kJ/mol of atoms: -3.4
# Raw total energy in eV/atom: -2.452
# D(E_F) in states/eV/cell: 3.8

=====

# Mg2SbN PBE-GGA optimized geometry
data_Mg2SbN
_chemical_formula_sum 'Mg8 Sb4 N4'
_cell_length_a 6.136
_cell_length_b 6.136
_cell_length_c 8.900
_cell_angle_alpha 90.00
_cell_angle_beta 90.00
_cell_angle_gamma 90.00
_space_group_name_H-M_alt 'I -4 2 d'
_space_group_IT_number 122
_space_group_name_Hall 'I -4 2bw'
loop_
_atom_site_label
_atom_site_fract_x
_atom_site_fract_y
_atom_site_fract_z
_atom_site_occupancy
Mg1 0.096 0.250 0.125 1
Sb1 0.000 0.000 0.500 1
N1 0.000 0.000 0.000 1
# Uncorrected formation energy in kJ/mol of atoms: -23.3
# Raw total energy in eV/atom: -4.151
# D(E_F) in states/eV/cell: 3.8

=====

# CoAgCl2 PBE-GGA optimized geometry
data_CoAgCl2
_chemical_formula_sum 'Co1 Ag1 Cl2'
_cell_length_a 5.394
_cell_length_b 3.407
_cell_length_c 5.661
_cell_angle_alpha 90.00
_cell_angle_beta 100.33
_cell_angle_gamma 90.00
_space_group_name_H-M_alt 'P 1 2/m 1'
_space_group_IT_number 10
loop_
_space_group_symop_operation_xyz
'x,y,z'
'-x,-y,-z'
'-x,y,-z'
'x,-y,z'
loop_
_atom_site_label
_atom_site_fract_x
_atom_site_fract_y
_atom_site_fract_z
_atom_site_occupancy
Co1 0.000 0.000 0.000 1
Ag1 0.500 0.000 0.000 1
Cl1 0.204 0.500 0.246 1
# Uncorrected formation energy in kJ/mol of atoms: -9.1
# Raw total energy in eV/atom: -3.507
# D(E_F) in states/eV/cell: 2.1

=====

# YNi2Mo PBE-GGA optimized geometry
data_YNi2Mo
_chemical_formula_sum 'Y2 Ni4 Mo2'
_cell_length_a 3.829
_cell_length_b 3.829
_cell_length_c 8.788
_cell_angle_alpha 90.00
_cell_angle_beta 90.00
_cell_angle_gamma 90.00
_space_group_name_H-M_alt 'I -4 m 2'
_space_group_IT_number 119
_space_group_name_Hall 'I -4 -2'
loop_
_atom_site_label
_atom_site_fract_x
_atom_site_fract_y
_atom_site_fract_z
_atom_site_occupancy
Y1 0.000 0.000 0.000 1
Ni1 0.000 0.000 0.500 1
Ni2 0.000 0.500 0.250 1
Mo1 0.000 0.500 0.750 1
# Energy of formation from the pure elements in meV/atom: 257
# Raw total energy in eV/atom: -6.957
# D(E_F) in states/eV/cell: 10.3